(1)
This record from Alexandria describes a geometry-optimized InReHg2 structure. The functional is PBE.

Computed properties:
The total energy comes out at -13.0 eV for the cell shown. The volume is 20.3 Å³/atom. The total magnetic moment comes out at 0.000 μB per formula unit. As for the formation energy: 0.69 eV per atom. As for the space group: No. 47.

POSCAR file:
```
InReHg2
1.0
-0.902 -0.514 -2.694
4.294 -2.915 -0.882
-2.595 -4.336 1.696
Hg In Re
2 1 1
Direct
0.000 0.000 0.000
0.500 0.500 0.000
0.500 0.000 0.500
0.000 0.500 0.500
```

(2)
This record from Alexandria describes a geometry-optimized Na2AlTeSe4 structure. The functional is PBE.

Computed properties:
The total energy comes out at -28.8 eV for the cell shown. The volume is 28.0 Å³/atom. The total magnetic moment comes out at 0.000 μB per formula unit. The value obtained for the uncorrected formation energy is -0.6652 eV per atom. As for the space group: No. 1.

POSCAR file:
```
Na2AlTeSe4
1.0
-6.531 -1.569 2.461
2.542 -2.950 2.956
1.291 5.809 3.104
Na Al Te Se
2 1 1 4
Direct
0.402 0.901 0.920
0.375 0.342 0.408
0.935 0.456 0.984
0.916 0.763 0.493
0.688 0.630 0.758
0.752 0.267 0.217
0.193 0.772 0.234
0.127 0.255 0.760
```

(3)
This record from Alexandria describes a geometry-optimized Li5Ge2Ru structure. The functional is PBE.

Computed properties:
The total energy comes out at -60.1 eV for the cell shown. The volume is 14.7 Å³/atom. The total magnetic moment comes out at 0.000 μB per formula unit. As for the formation energy: -0.25 eV per atom. As for the space group: No. 55.

POSCAR file:
```
Li5Ge2Ru
1.0
-2.667 -0.280 -1.805
-2.129 -4.275 3.808
-5.299 8.446 6.518
Li Ge Ru
10 4 2
Direct
0.000 0.000 0.000
0.000 0.500 0.500
0.000 0.475 0.749
0.000 0.525 0.251
0.000 0.025 0.249
0.000 0.975 0.751
0.500 0.251 0.880
0.500 0.749 0.120
0.500 0.249 0.380
0.500 0.751 0.620
0.500 0.226 0.616
0.500 0.774 0.384
0.500 0.274 0.116
0.500 0.726 0.884
0.000 0.000 0.500
0.000 0.500 0.000
```

(4)
This record from Alexandria describes a geometry-optimized VZn2Ni structure. The functional is PBE.

Computed properties:
The total energy comes out at -17.4 eV for the cell shown. The volume is 13.4 Å³/atom. The total magnetic moment comes out at 2.027 μB per formula unit. As for the formation energy: 0.00 eV per atom. As for the space group: No. 123.

POSCAR file:
```
VZn2Ni
1.0
3.874 0.000 0.000
0.000 3.714 0.000
0.000 0.000 3.714
Ni Zn V
1 2 1
Direct
0.500 0.000 0.000
0.000 0.000 0.500
0.000 0.500 0.000
0.500 0.500 0.500
```

(5)
This record from Alexandria describes a geometry-optimized Nb2S structure. The functional is PBE.

Computed properties:
The total energy comes out at -103.0 eV for the cell shown. The volume is 17.1 Å³/atom. The total magnetic moment comes out at 0.000 μB per formula unit. The value obtained for the uncorrected formation energy is -0.4937 eV per atom. As for the space group: No. 64.

POSCAR file:
```
Nb2S
1.0
3.362 0.000 0.000
0.000 5.331 0.000
0.000 0.000 11.468
Nb S
8 4
Direct
0.750 0.908 0.846
0.250 0.092 0.154
0.250 0.592 0.346
0.750 0.408 0.654
0.750 0.092 0.346
0.250 0.908 0.654
0.250 0.408 0.846
0.750 0.592 0.154
0.750 0.750 0.500
0.250 0.250 0.500
0.250 0.750 0.000
0.750 0.250 0.000
```

(6)
This record from Alexandria describes a geometry-optimized TiGaBi2 structure. The functional is PBE.

Computed properties:
The total energy comes out at -18.3 eV for the cell shown. The volume is 26.7 Å³/atom. The total magnetic moment comes out at 0.000 μB per formula unit. The energy above the most stable polymorph in this dataset comes out at 0 meV per atom. As for the formation energy: 0.09 eV per atom. As for the space group: No. 166.

POSCAR file:
```
TiGaBi2
1.0
-0.108 -0.432 -3.299
1.546 -2.600 -1.389
-8.787 -7.108 -0.461
Bi Ga Ti
2 1 1
Direct
0.098 0.098 0.707
0.902 0.902 0.293
0.000 0.000 0.000
0.500 0.500 0.500
```

Question: Which value of total magnetic moment does entry 5 give?
Answer: 0.000 μB per formula unit